Density functional theory data (PBE-GGA) for crystalline Sc2MnTcC at its relaxed geometry.

The calculation puts the calculated volume at 81.8 Å³/f.u. The calculated formation energy comes out at -0.147 eV/atom. The value obtained for the magnetic moment is 4.09 μB/f.u.

Unit cell a=4.525 b=4.525 c=3.994 alpha=90.00 beta=90.00 gamma=90.00
Fractional positions:
Sc: 0.000 0.500 0.000
Sc: 0.500 0.000 0.000
Mn: 0.000 0.000 0.500
Tc: 0.500 0.500 0.500
C: 0.500 0.500 0.000